No. 1
First-principles (PBE) data for a geometry-optimized Dy2Ir structure, as listed in OQMD.

Lattice parameters (Å, degrees): 7.647 7.647 4.203 90.00 90.00 120.00
Fractional coordinates of all 9 atoms:
Dy: 0.000 0.414 0.000
Dy: 0.000 0.744 0.500
Dy: 0.256 0.256 0.500
Dy: 0.414 0.000 0.000
Dy: 0.586 0.586 0.000
Dy: 0.744 0.000 0.500
Ir: 0.000 0.000 0.000
Ir: 0.333 0.667 0.500
Ir: 0.667 0.333 0.500

Output
* ρ: 12.1 Mg/m³
* space-group type: P-62m, No. 189
* total DFT energy (no corrections): -60.10 eV for the cell shown

=====

No. 2
First-principles (PBE) data for a geometry-optimized HfZnCdFe structure, as listed in OQMD.

Lattice parameters (Å, degrees): 6.476 6.476 6.476 90.00 90.00 90.00
Fractional coordinates of all 16 atoms:
Hf: 0.000 0.000 0.000
Hf: 0.000 0.500 0.500
Hf: 0.500 0.000 0.500
Hf: 0.500 0.500 0.000
Zn: 0.250 0.250 0.250
Zn: 0.250 0.750 0.750
Zn: 0.750 0.250 0.750
Zn: 0.750 0.750 0.250
Cd: 0.250 0.250 0.750
Cd: 0.250 0.750 0.250
Cd: 0.750 0.250 0.250
Cd: 0.750 0.750 0.750
Fe: 0.000 0.000 0.500
Fe: 0.000 0.500 0.000
Fe: 0.500 0.000 0.000
Fe: 0.500 0.500 0.500

Output
* ρ: 10.1 Mg/m³
* distance to the lowest polymorph of the same formula: 6 kJ/mol of formula units
* space-group type: F-43m, No. 216